DFT (PBE) results for a relaxed structure of SrCdAs2Br.

Its magnetization is 0.4 μB/f.u. The uncorrected formation energy comes out at -0.237 eV per atom. The total energy comes out at -2.95 eV/atom. As for the crystal system: tetragonal. Its calculated density is 4.599 Mg/m³.

The structure belongs to space group P4/mmm (No. 123); the cell edges are 5.104, 5.104 and 5.957 Å and the angles 90.00°, 90.00° and 90.00°. Symmetry generates all atoms from Sr at (0.000, 0.000, 0.000), Cd at (0.500, 0.500, 0.500), As at (0.000, 0.500, 0.500) and Br at (0.500, 0.500, 0.000).